Arrangement i

## Ta2Te2O5 (PBE)

Data for a relaxed structure of Ta2Te2O5.

abc: 3.437 3.437 9.135
angles: 90.00 90.00 90.00
Space group P4/mmm (No. 123)
Inequivalent atoms, fractional coordinates:
Ta1 0.000 0.000 0.000 [1 per cell]
Ta2 0.000 0.000 0.500 [1 per cell]
Te1 0.500 0.500 0.186 [2 per cell]
O1 0.000 0.500 0.341 [4 per cell]
O2 0.500 0.500 0.500 [1 per cell]

volume: 108 Å³ per cell

---

Arrangement ii

## Ta2Te2O5 (PBE)

Data for a relaxed structure of Ta2Te2O5.

abc: 3.945 3.945 9.184
angles: 90.00 90.00 90.00
Space group P4/mmm (No. 123)
Inequivalent atoms, fractional coordinates:
Ta1 0.000 0.000 0.220 [2 per cell]
Te1 0.500 0.500 0.000 [1 per cell]
Te2 0.500 0.500 0.500 [1 per cell]
O1 0.000 0.000 0.000 [1 per cell]
O2 0.000 0.500 0.233 [4 per cell]

volume: 143 Å³ per cell

---

Least stable of them? arrangement i.

---

Arrangement i

## Ta2Tl2O5 (PBE)

Data for a relaxed structure of Ta2Tl2O5.

abc: 5.255 5.282 6.877
angles: 93.63 109.14 116.41
Space group P1 (No. 1)
Inequivalent atoms, fractional coordinates:
Ta1 0.000 0.000 0.000 [1 per cell]
Ta2 0.355 0.666 0.027 [1 per cell]
Tl1 0.447 0.207 0.601 [1 per cell]
Tl2 0.963 0.515 0.390 [1 per cell]
O1 0.018 0.289 0.825 [1 per cell]
O2 0.178 0.870 0.837 [1 per cell]
O3 0.332 0.393 0.214 [1 per cell]
O4 0.579 0.709 0.823 [1 per cell]
O5 0.790 0.945 0.210 [1 per cell]

volume: 157 Å³ per cell

---

Arrangement ii

## Ta2Tl2O5 (PBE)

Data for a relaxed structure of Ta2Tl2O5.

abc: 3.466 3.466 9.669
angles: 90.00 90.00 90.00
Space group P4/mmm (No. 123)
Inequivalent atoms, fractional coordinates:
Ta1 0.000 0.000 0.000 [1 per cell]
Ta2 0.000 0.000 0.500 [1 per cell]
Tl1 0.500 0.500 0.200 [2 per cell]
O1 0.000 0.500 0.355 [4 per cell]
O2 0.500 0.500 0.500 [1 per cell]

volume: 116 Å³ per cell

---

Arrangement iii

## Ta2Tl2O5 (PBE)

Data for a relaxed structure of Ta2Tl2O5.

abc: 3.983 3.983 8.838
angles: 90.00 90.00 90.00
Space group P4/mmm (No. 123)
Inequivalent atoms, fractional coordinates:
Ta1 0.000 0.000 0.227 [2 per cell]
Tl1 0.500 0.500 0.000 [1 per cell]
Tl2 0.500 0.500 0.500 [1 per cell]
O1 0.000 0.000 0.000 [1 per cell]
O2 0.000 0.500 0.241 [4 per cell]

volume: 140 Å³ per cell

---

Least stable of them? arrangement ii.

---

Arrangement i

## Y2Ta2O5 (PBE)

Data for a relaxed structure of Y2Ta2O5.

abc: 4.002 4.002 7.121
angles: 90.00 90.00 90.00
Space group P4/mmm (No. 123)
Inequivalent atoms, fractional coordinates:
Y1 0.000 0.000 0.000 [1 per cell]
Y2 0.000 0.000 0.500 [1 per cell]
Ta1 0.500 0.500 0.196 [2 per cell]
O1 0.000 0.500 0.252 [4 per cell]
O2 0.500 0.500 0.500 [1 per cell]

volume: 114 Å³ per cell

---

Arrangement ii

## Y2Ta2O5 (PBE)

Data for a relaxed structure of Y2Ta2O5.

abc: 3.468 3.468 9.968
angles: 90.00 90.00 90.00
Space group P4/mmm (No. 123)
Inequivalent atoms, fractional coordinates:
Y1 0.000 0.000 0.235 [2 per cell]
Ta1 0.500 0.500 0.000 [1 per cell]
Ta2 0.500 0.500 0.500 [1 per cell]
O1 0.000 0.000 0.000 [1 per cell]
O2 0.000 0.500 0.380 [4 per cell]

volume: 120 Å³ per cell

---

Least stable of them? arrangement ii.

---

Arrangement i

## Zr2Ta2O5 (PBE)

Data for a relaxed structure of Zr2Ta2O5.

abc: 3.990 3.990 6.838
angles: 90.00 90.00 90.00
Space group P4/mmm (No. 123)
Inequivalent atoms, fractional coordinates:
Zr1 0.000 0.000 0.000 [1 per cell]
Zr2 0.000 0.000 0.500 [1 per cell]
Ta1 0.500 0.500 0.197 [2 per cell]
O1 0.000 0.500 0.264 [4 per cell]
O2 0.500 0.500 0.500 [1 per cell]

volume: 109 Å³ per cell

---

Arrangement ii

## Zr2Ta2O5 (PBE)

Data for a relaxed structure of Zr2Ta2O5.

abc: 3.539 3.539 9.412
angles: 90.00 90.00 90.00
Space group P4/mmm (No. 123)
Inequivalent atoms, fractional coordinates:
Zr1 0.000 0.000 0.235 [2 per cell]
Ta1 0.500 0.500 0.000 [1 per cell]
Ta2 0.500 0.500 0.500 [1 per cell]
O1 0.000 0.000 0.500 [1 per cell]
O2 0.000 0.500 0.344 [4 per cell]

volume: 118 Å³ per cell

---

Least stable of them? arrangement ii.